Record 1
ScNi3Hg | PBE-GGA | relaxed

## Properties
Theoretical density, g/cm3: 7.815
Energy above the most stable polymorph in this dataset, kJ/mol of atoms: 0.0
ΔE_f, eV/atom: 0.876
Fermi-level density of states, states/eV per atom: 0.530

Cell: 4.4745 4.4745 4.4745 Å, 90.00 90.00 90.00°
With the nearest neighbours (Å) after each atom.
Fractional positions:
Hg 0.5000 0.5000 0.5000  12 Ni 3.16
Sc 0.0000 0.0000 0.0000  6 Ni 2.24
Ni 0.0000 0.5000 0.0000  2 Sc 2.24
Ni 0.5000 0.0000 0.0000  2 Sc 2.24
Ni 0.0000 0.0000 0.5000  2 Sc 2.24


Record 2
TbPrAs2 | PBE-GGA | relaxed

## Properties
Theoretical density, g/cm3: 6.842
Energy above the most stable polymorph in this dataset, kJ/mol of atoms: 15.9
ΔE_f, eV/atom: -1.350
Fermi-level density of states, states/eV per atom: 0.084

Cell: 4.1858 4.1858 7.5874 Å, 73.99 73.99 60.00°
With the nearest neighbours (Å) after each atom.
Fractional positions:
Pr 0.6692 0.6692 0.9923  6 As 3.00-3.08
As 0.0853 0.0853 0.7441  3 Tb 2.96, 3 Pr 3.00
As 0.2477 0.2477 0.2569  3 Tb 3.01, 3 Pr 3.08
Tb 0.4978 0.4978 0.5067  6 As 2.96-3.01


Record 3
PdSeN3 | PBE-GGA | relaxed

## Properties
Raw formation energy, eV per formula unit: 10.9
Theoretical density, g/cm3: 6.001
Fermi-level density of states, states/eV per atom: 0.810

Cell: 3.9775 3.9775 3.9775 Å, 90.00 90.00 90.00°
With the nearest neighbours (Å) after each atom.
Fractional positions:
N 0.5000 0.0000 0.0000  2 Pd 1.99
Pd 0.0000 0.0000 0.0000  6 N 1.99
N 0.0000 0.5000 0.0000  2 Pd 1.99
N 0.0000 0.0000 0.5000  2 Pd 1.99
Se 0.5000 0.5000 0.5000  12 N 2.81


no.,M_tot (Bohr magnetons per cell)
1,0.00
2,0.00
3,2.44